1.
Here is a geometry-optimized Tb2CuB2Rh5 structure from Alexandria via LeMat-Bulk. Energies are from GGA-PBE.

Unit cell a=3.2093 b=9.4720 c=9.4720 alpha=90.00 beta=90.00 gamma=90.00
Closest atoms and distances in Å follow each position.
Fractional positions:
1 Rh 0.5000 0.5000 0.0000  4 B 2.32
2 Tb 0.0000 0.3240 0.8240  3 B 2.67-2.89, 6 Rh 2.85-2.92
3 B 0.0000 0.8754 0.3754  6 Rh 2.24-2.32
4 Rh 0.5000 0.0698 0.7806  2 B 2.24
5 Rh 0.5000 0.5698 0.7194  2 B 2.24
6 Cu 0.0000 0.5000 0.5000  8 Rh 2.71
7 B 0.0000 0.6246 0.8754  6 Rh 2.24-2.32
8 B 0.0000 0.1246 0.6246  6 Rh 2.24-2.32
9 Tb 0.0000 0.8240 0.6760  3 B 2.67-2.89, 6 Rh 2.85-2.92
10 Rh 0.5000 0.0000 0.5000  4 B 2.32
11 Rh 0.5000 0.7194 0.4302  2 B 2.24
12 Cu 0.0000 0.0000 0.0000  8 Rh 2.71
13 Rh 0.5000 0.2194 0.0698  2 B 2.24
14 Rh 0.5000 0.2806 0.5698  2 B 2.24
15 Rh 0.5000 0.9302 0.2194  2 B 2.24
16 Tb 0.0000 0.6760 0.1760  3 B 2.67-2.89, 6 Rh 2.85-2.92
17 Tb 0.0000 0.1760 0.3240  3 B 2.67-2.89, 6 Rh 2.85-2.92
18 B 0.0000 0.3754 0.1246  6 Rh 2.24-2.32
19 Rh 0.5000 0.4302 0.2806  2 B 2.24
20 Rh 0.5000 0.7806 0.9302  2 B 2.24

Output
Formation energy: -629 kJ/mol of formula units

2.
Here is a geometry-optimized Ti2CuBRh structure from Alexandria via LeMat-Bulk. Energies are from GGA-PBE.

Unit cell a=4.5846 b=4.5918 c=4.5846 alpha=90.00 beta=90.00 gamma=90.00
Closest atoms and distances in Å follow each position.
Fractional positions:
1 Ti 0.0000 0.0000 0.5000  2 Rh 2.29
2 B 0.5000 0.5000 0.5000  4 Cu 3.24, 8 Ti 3.24
3 Ti 0.5000 0.0000 0.0000  2 Rh 2.29
4 Cu 0.0000 0.5000 0.0000  2 Rh 2.30
5 Rh 0.0000 0.0000 0.0000  4 Ti 2.29, 2 Cu 2.30

Output
Formation energy: 593 kJ/mol of formula units

3.
Here is a geometry-optimized TiCu2BRh structure from Alexandria via LeMat-Bulk. Energies are from GGA-PBE.

Unit cell a=4.4601 b=3.9449 c=4.4601 alpha=90.00 beta=90.00 gamma=90.00
Closest atoms and distances in Å follow each position.
Fractional positions:
1 Cu 0.5000 0.0000 0.0000  2 Ti 2.23
2 Rh 0.5000 0.5000 0.5000  8 Cu 2.98, 4 B 3.15
3 Ti 0.0000 0.0000 0.0000  2 B 1.97
4 B 0.0000 0.5000 0.0000  2 Ti 1.97
5 Cu 0.0000 0.0000 0.5000  2 Ti 2.23

Output
Formation energy: 699 kJ/mol of formula units